MgZr2Hg, relaxed, DFT PBE; formation energy = -0.056 eV/atom
1.0
3.250 0.000 0.000
0.000 4.512 0.000
-1.522 0.000 6.057
Mg Zr Hg
1 2 1
direct
0.000 0.000 0.000
0.245 0.000 0.504
0.614 0.500 0.234
0.854 0.500 0.737